(one)
DFT (SCAN) results for a crystal of LiCd2Ag relaxed with PBEsol.

Output
Magnetic moment in μB per formula unit: 0.0

Structure (CIF):
```
data_LiCd2Ag
_space_group_name_H-M_alt 'P 4/m m m'
_space_group_IT_number 123
_space_group_name_Hall '-P 4 2'
_cell_length_a 4.279
_cell_length_b 4.279
_cell_length_c 3.884
_cell_angle_alpha 90.00
_cell_angle_beta 90.00
_cell_angle_gamma 90.00
loop_
_atom_site_label
_atom_site_type_symbol
_atom_site_fract_x
_atom_site_fract_y
_atom_site_fract_z
Li1 Li 0.000 0.000 0.000
Cd1 Cd 0.000 0.500 0.500
Ag1 Ag 0.500 0.500 0.000
```


(two)
DFT (SCAN) results for a crystal of LiCd2Ag relaxed with PBEsol.

Output
Magnetic moment in μB per formula unit: 0.0

Structure (CIF):
```
data_LiCd2Ag
_space_group_name_H-M_alt 'C 1 m 1'
_space_group_IT_number 8
_cell_length_a 9.802
_cell_length_b 3.041
_cell_length_c 4.932
_cell_angle_alpha 90.00
_cell_angle_beta 103.44
_cell_angle_gamma 90.00
loop_
_space_group_symop_operation_xyz
'x,y,z'
'x,-y,z'
'x+1/2,y+1/2,z'
'x+1/2,-y+1/2,z'
loop_
_atom_site_label
_atom_site_type_symbol
_atom_site_fract_x
_atom_site_fract_y
_atom_site_fract_z
Li1 Li 0.000 0.000 0.000
Cd1 Cd 0.248 0.000 0.757
Cd2 Cd 0.490 0.000 0.485
Ag1 Ag 0.240 0.500 0.243
```


The relative energies come out as (one) 0.0; (two) 2.5, with values in kJ/mol of atoms.


(one)
DFT (SCAN) results for a crystal of CuSe2Cl relaxed with PBEsol.

Output
Magnetic moment in μB per formula unit: 0.0

Structure (CIF):
```
data_CuSe2Cl
_space_group_name_H-M_alt 'I -4 2 d'
_space_group_IT_number 122
_space_group_name_Hall 'I -4 2bw'
_cell_length_a 4.172
_cell_length_b 4.172
_cell_length_c 19.113
_cell_angle_alpha 90.00
_cell_angle_beta 90.00
_cell_angle_gamma 90.00
loop_
_atom_site_label
_atom_site_type_symbol
_atom_site_fract_x
_atom_site_fract_y
_atom_site_fract_z
Cu1 Cu 0.000 0.000 0.000
Se1 Se 0.145 0.250 0.125
Cl1 Cl 0.000 0.000 0.500
```


(two)
DFT (SCAN) results for a crystal of CuSe2Cl relaxed with PBEsol.

Output
Magnetic moment in μB per formula unit: 0.0

Structure (CIF):
```
data_CuSe2Cl
_space_group_name_H-M_alt 'P 1 21/c 1'
_space_group_IT_number 14
_cell_length_a 7.609
_cell_length_b 4.773
_cell_length_c 11.270
_cell_angle_alpha 90.00
_cell_angle_beta 115.60
_cell_angle_gamma 90.00
loop_
_space_group_symop_operation_xyz
'x,y,z'
'-x,-y,-z'
'-x,y+1/2,-z+1/2'
'x,-y+1/2,z+1/2'
loop_
_atom_site_label
_atom_site_type_symbol
_atom_site_fract_x
_atom_site_fract_y
_atom_site_fract_z
Cu1 Cu 0.176 0.148 0.248
Se1 Se 0.295 0.015 0.650
Se2 Se 0.420 0.690 0.847
Cl1 Cl 0.090 0.101 0.886
```


The relative energies come out as (one) 49.5; (two) 0.0, with values in kJ/mol of atoms.


(one)
DFT (SCAN) results for a crystal of ZrScIn relaxed with PBEsol.

Output
Magnetic moment in μB per formula unit: 1.3

Structure (CIF):
```
data_ZrScIn
_space_group_name_H-M_alt 'F -4 3 m'
_space_group_IT_number 216
_space_group_name_Hall 'F -4 2 3'
_cell_length_a 6.740
_cell_length_b 6.740
_cell_length_c 6.740
_cell_angle_alpha 90.00
_cell_angle_beta 90.00
_cell_angle_gamma 90.00
loop_
_atom_site_label
_atom_site_type_symbol
_atom_site_fract_x
_atom_site_fract_y
_atom_site_fract_z
Zr1 Zr 0.000 0.000 0.000
Sc1 Sc 0.000 0.000 0.500
In1 In 0.250 0.250 0.750
```


(two)
DFT (SCAN) results for a crystal of ZrScIn relaxed with PBEsol.

Output
Magnetic moment in μB per formula unit: 0.0

Structure (CIF):
```
data_ZrScIn
_space_group_name_H-M_alt 'I 4 m m'
_space_group_IT_number 107
_space_group_name_Hall 'I 4 -2'
_cell_length_a 3.284
_cell_length_b 3.284
_cell_length_c 12.245
_cell_angle_alpha 90.00
_cell_angle_beta 90.00
_cell_angle_gamma 90.00
loop_
_atom_site_label
_atom_site_type_symbol
_atom_site_fract_x
_atom_site_fract_y
_atom_site_fract_z
Zr1 Zr 0.000 0.000 0.000
Sc1 Sc 0.000 0.000 0.669
In1 In 0.000 0.000 0.334
```


The relative energies come out as (one) 36.7; (two) 0.0, with values in kJ/mol of atoms.